Version 1
VASP calculation (PBE) on a geometry-optimized Na2ZnGa2 structure.

Calculated values
The calculation puts the total moment at 0.00 μB/f.u. For the density of states at the Fermi level, the calculation gives 0.55 states/eV per atom.

CIF file:
```
data_Na2ZnGa2
_chemical_formula_sum 'Na4 Zn2 Ga4'
_symmetry_space_group_name_H-M 'P 4/m b m'
_symmetry_Int_Tables_number 127
_symmetry_space_group_name_Hall '-P 4 2ab'
_cell_length_a 6.730
_cell_length_b 6.730
_cell_length_c 5.006
_cell_angle_alpha 90.00
_cell_angle_beta 90.00
_cell_angle_gamma 90.00
loop_
_atom_site_label
_atom_site_fract_x
_atom_site_fract_y
_atom_site_fract_z
Na1 0.175 0.325 0.000
Zn1 0.000 0.000 0.500
Ga1 0.134 0.634 0.500
```

---

Version 2
VASP calculation (PBE) on a geometry-optimized Na2ZnGa2 structure.

Calculated values
The calculation puts the total moment at 0.00 μB/f.u. For the density of states at the Fermi level, the calculation gives 0.46 states/eV per atom.

CIF file:
```
data_Na2ZnGa2
_chemical_formula_sum 'Na8 Zn4 Ga8'
_symmetry_space_group_name_H-M 'C 1 2/m 1'
_symmetry_Int_Tables_number 12
_symmetry_space_group_name_Hall '-C 2y'
_cell_length_a 10.696
_cell_length_b 4.539
_cell_length_c 10.810
_cell_angle_alpha 90.00
_cell_angle_beta 118.87
_cell_angle_gamma 90.00
loop_
_atom_site_label
_atom_site_fract_x
_atom_site_fract_y
_atom_site_fract_z
Na1 0.002 0.000 0.323
Na2 0.203 0.000 0.105
Zn1 0.229 0.500 0.360
Ga1 0.007 0.500 0.119
Ga2 0.140 0.500 0.559
```

---

Version 3
VASP calculation (PBE) on a geometry-optimized Na2ZnGa2 structure.

Calculated values
The calculation puts the total moment at 0.00 μB/f.u. For the density of states at the Fermi level, the calculation gives 0.41 states/eV per atom.

CIF file:
```
data_Na2ZnGa2
_chemical_formula_sum 'Na8 Zn4 Ga8'
_symmetry_space_group_name_H-M 'C 1 2/m 1'
_symmetry_Int_Tables_number 12
_symmetry_space_group_name_Hall '-C 2y'
_cell_length_a 10.463
_cell_length_b 4.470
_cell_length_c 9.420
_cell_angle_alpha 90.00
_cell_angle_beta 97.19
_cell_angle_gamma 90.00
loop_
_atom_site_label
_atom_site_fract_x
_atom_site_fract_y
_atom_site_fract_z
Na1 0.040 0.000 0.151
Na2 0.118 0.500 0.687
Zn1 0.116 0.000 0.460
Ga1 0.184 0.500 0.337
Ga2 0.226 0.500 0.061
```

---

Version 4
VASP calculation (PBE) on a geometry-optimized Na2ZnGa2 structure.

Calculated values
The calculation puts the total moment at 0.00 μB/f.u. For the density of states at the Fermi level, the calculation gives 0.54 states/eV per atom.

CIF file:
```
data_Na2ZnGa2
_chemical_formula_sum 'Na4 Zn2 Ga4'
_symmetry_space_group_name_H-M 'I 4/m m m'
_symmetry_Int_Tables_number 139
_symmetry_space_group_name_Hall '-I 4 2'
_cell_length_a 3.999
_cell_length_b 3.999
_cell_length_c 14.161
_cell_angle_alpha 90.00
_cell_angle_beta 90.00
_cell_angle_gamma 90.00
loop_
_atom_site_label
_atom_site_fract_x
_atom_site_fract_y
_atom_site_fract_z
Na1 0.000 0.500 0.250
Zn1 0.000 0.000 0.000
Ga1 0.000 0.000 0.412
```

---

Ranking the structures above from most stable to least stable yields version 3, version 2, version 1, version 4.